# Tl10Hg6Bi PBE relaxed
data_Tl10Hg6Bi
_space_group_name_H-M_alt 'P -3 1 m'
_space_group_IT_number 162
_space_group_name_Hall '-P 3 2'
_cell_length_a 9.6409
_cell_length_b 9.6409
_cell_length_c 6.4987
_cell_angle_alpha 90.00
_cell_angle_beta 90.00
_cell_angle_gamma 120.00
loop_
_atom_site_label
_atom_site_fract_x
_atom_site_fract_y
_atom_site_fract_z
Tl1 0.0000 0.2789 0.2194
Tl2 0.3333 0.6667 0.0000
Tl3 0.3333 0.6667 0.5000
Hg1 0.0000 0.3766 0.7238
Bi1 0.0000 0.0000 0.5000
# Energy of formation from the pure elements, meV/atom: 5
# Uncorrected energy, eV per atom: -1.722

# Ho5Er12Tm PBE relaxed
data_Ho5Er12Tm
_space_group_name_H-M_alt 'C m m m'
_space_group_IT_number 65
_space_group_name_Hall '-C 2 2'
_cell_length_a 14.8469
_cell_length_b 14.8784
_cell_length_c 4.9456
_cell_angle_alpha 90.00
_cell_angle_beta 90.00
_cell_angle_gamma 90.00
loop_
_atom_site_label
_atom_site_fract_x
_atom_site_fract_y
_atom_site_fract_z
Ho1 0.0000 0.0000 0.0000
Ho2 0.0000 0.1667 0.5000
Ho3 0.0000 0.3336 0.0000
Er1 0.1669 0.0000 0.5000
Er2 0.1669 0.1667 0.0000
Er3 0.1666 0.3335 0.5000
Er4 0.1666 0.5000 0.0000
Tm1 0.0000 0.5000 0.5000
# Energy of formation from the pure elements, meV/atom: 23
# Uncorrected energy, eV per atom: -4.538

# EuHo2 PBE relaxed
data_EuHo2
_space_group_name_H-M_alt 'I 4/m m m'
_space_group_IT_number 139
_space_group_name_Hall '-I 4 2'
_cell_length_a 3.6246
_cell_length_b 3.6246
_cell_length_c 15.4006
_cell_angle_alpha 90.00
_cell_angle_beta 90.00
_cell_angle_gamma 90.00
loop_
_atom_site_label
_atom_site_fract_x
_atom_site_fract_y
_atom_site_fract_z
Eu1 0.0000 0.0000 0.0000
Ho1 0.0000 0.0000 0.3249
# Energy of formation from the pure elements, meV/atom: 63
# Uncorrected energy, eV per atom: -6.413